Compound: YZrTc2Au
Source: Alexandria via LeMat-Bulk
Functional: GGA-PBE
Structure: optimized geometry

a b c (Å): 5.0063 5.0063 5.0593
angles (deg): 90.00 90.00 90.00
Fractional coordinates of all 5 atoms:
Y (0.0000, 0.0000, 0.0000)
Zr (0.5000, 0.5000, 0.0000)
Tc (0.0000, 0.5000, 0.5000)
Tc (0.5000, 0.0000, 0.5000)
Au (0.0000, 0.0000, 0.5000)

Computed properties:
Formation energy from the elements: 1.344 eV per atom

***

Compound: ZnTcAu2
Source: Alexandria via LeMat-Bulk
Functional: GGA-PBE
Structure: optimized geometry

a b c (Å): 5.6719 8.3904 2.7258
angles (deg): 90.00 90.00 90.00
Fractional coordinates of all 8 atoms:
Zn (0.0000, 0.0000, 0.0000)
Zn (0.5000, 0.5000, 0.0000)
Tc (0.0000, 0.5000, 0.0000)
Tc (0.5000, 0.0000, 0.0000)
Au (0.2500, 0.2500, 0.5000)
Au (0.2500, 0.7500, 0.5000)
Au (0.7500, 0.2500, 0.5000)
Au (0.7500, 0.7500, 0.5000)

Computed properties:
Formation energy from the elements: 0.156 eV per atom